# 1
Computed, not measured: a relaxed SnBN crystal at the PBE level of DFT.

Cell: 2.725 2.725 9.077 Å, 98.28 98.28 59.98°
Sites, in units of the cell vectors:
Sn: 0.000 0.000 0.000
B: 0.829 0.829 0.501
N: 0.495 0.495 0.501



# 2
Computed, not measured: a relaxed SnB2N crystal at the PBE level of DFT.

Distance to the lowest polymorph of the same formula = 7.28 eV/f.u.

Cell: 4.069 4.069 4.069 Å, 60.00 60.00 60.00°
Sites, in units of the cell vectors:
Sn: 0.000 0.000 0.000
B: 0.250 0.250 0.250
B: 0.750 0.750 0.750
N: 0.500 0.500 0.500



# 3
Computed, not measured: a relaxed SnBN2 crystal at the PBE level of DFT.

Distance to the lowest polymorph of the same formula = 0.60 eV/f.u.

Cell: 5.035 5.035 5.035 Å, 124.82 124.82 81.84°
Sites, in units of the cell vectors:
Sn: 0.000 0.000 0.000
Sn: 0.750 0.250 0.500
B: 0.250 0.750 0.500
B: 0.500 0.500 0.000
N: 0.249 0.625 0.124
N: 0.375 0.499 0.624
N: 0.501 0.125 0.876
N: 0.875 0.751 0.376



# 4
Computed, not measured: a relaxed SnB2N crystal at the PBE level of DFT.

Distance to the lowest polymorph of the same formula = 0.00 eV/f.u.

Cell: 5.334 5.334 5.334 Å, 129.19 129.19 74.71°
Sites, in units of the cell vectors:
Sn: 0.000 0.000 0.000
Sn: 0.750 0.250 0.500
B: 0.246 0.625 0.121
B: 0.375 0.496 0.621
B: 0.504 0.125 0.879
B: 0.875 0.754 0.379
N: 0.250 0.750 0.500
N: 0.500 0.500 0.000



# 5
Computed, not measured: a relaxed SnB3N crystal at the PBE level of DFT.

Distance to the lowest polymorph of the same formula = 0.00 eV/f.u.

Cell: 3.723 3.723 3.723 Å, 90.00 90.00 90.00°
Sites, in units of the cell vectors:
Sn: 0.000 0.000 0.000
B: 0.000 0.500 0.500
B: 0.500 0.000 0.500
B: 0.500 0.500 0.000
N: 0.500 0.500 0.500



# 6
Computed, not measured: a relaxed SnBN2 crystal at the PBE level of DFT.

Distance to the lowest polymorph of the same formula = 8.17 eV/f.u.

Cell: 3.870 3.870 3.870 Å, 60.00 60.00 60.00°
Sites, in units of the cell vectors:
Sn: 0.000 0.000 0.000
B: 0.500 0.500 0.500
N: 0.250 0.250 0.250
N: 0.750 0.750 0.750



# 7
Computed, not measured: a relaxed Sn2BN crystal at the PBE level of DFT.

Distance to the lowest polymorph of the same formula = 4.31 eV/f.u.

Cell: 4.412 4.412 4.412 Å, 60.00 60.00 60.00°
Sites, in units of the cell vectors:
Sn: 0.250 0.250 0.250
Sn: 0.750 0.750 0.750
B: 0.000 0.000 0.000
N: 0.500 0.500 0.500



# 8
Computed, not measured: a relaxed SnBTe2N crystal at the PBE level of DFT.

Distance to the lowest polymorph of the same formula = 0.00 eV/f.u.

Cell: 6.620 6.620 2.765 Å, 90.00 90.00 90.00°
Sites, in units of the cell vectors:
Sn: 0.000 0.000 0.000
B: 0.500 0.500 0.500
Te: 0.000 0.500 0.500
Te: 0.500 0.000 0.500
N: 0.500 0.500 0.000



# 9
Computed, not measured: a relaxed SnBTe2N crystal at the PBE level of DFT.

Distance to the lowest polymorph of the same formula = 7.56 eV/f.u.

Cell: 5.942 5.942 3.840 Å, 90.00 90.00 90.00°
Sites, in units of the cell vectors:
Sn: 0.000 0.000 0.000
B: 0.500 0.500 0.500
Te: 0.000 0.500 0.000
Te: 0.500 0.000 0.000
N: 0.000 0.000 0.500



# 10
Computed, not measured: a relaxed TiSn2BN crystal at the PBE level of DFT.

Cell: 5.520 5.520 2.793 Å, 90.00 90.00 90.00°
Sites, in units of the cell vectors:
Ti: 0.000 0.000 0.000
Sn: 0.000 0.500 0.500
Sn: 0.500 0.000 0.500
B: 0.500 0.500 0.000
N: 0.500 0.500 0.500



# 11
Computed, not measured: a relaxed SrBN crystal at the PBE level of DFT.

Distance to the lowest polymorph of the same formula = 0.36 eV/f.u.

Cell: 4.516 4.516 4.516 Å, 124.86 124.86 81.76°
Sites, in units of the cell vectors:
Sr: 0.000 0.000 0.000
B: 0.428 0.428 0.000
N: 0.617 0.617 0.000



# 12
Computed, not measured: a relaxed SrB2N crystal at the PBE level of DFT.

Cell: 7.731 7.731 7.731 Å, 152.71 152.71 38.97°
Sites, in units of the cell vectors:
Sr: 0.375 0.625 0.750
Sr: 0.625 0.375 0.250
B: 0.000 0.000 0.000
B: 0.000 0.000 0.500
B: 0.000 0.500 0.000
B: 0.500 0.000 0.500
N: 0.125 0.875 0.250
N: 0.875 0.125 0.750



# 13
Computed, not measured: a relaxed SrBN2 crystal at the PBE level of DFT.

Cell: 5.756 5.756 5.756 Å, 40.43 40.43 40.43°
Sites, in units of the cell vectors:
Sr: 0.000 0.000 0.000
B: 0.500 0.500 0.500
N: 0.415 0.415 0.415
N: 0.585 0.585 0.585



# 14
Computed, not measured: a relaxed SrBN2 crystal at the PBE level of DFT.

Cell: 6.248 3.736 5.357 Å, 90.00 90.00 90.00°
Sites, in units of the cell vectors:
Sr: 0.250 0.000 0.250
Sr: 0.750 0.000 0.750
B: 0.250 0.500 0.750
B: 0.750 0.500 0.250
N: 0.036 0.500 0.750
N: 0.464 0.500 0.750
N: 0.536 0.500 0.250
N: 0.964 0.500 0.250



# 15
Computed, not measured: a relaxed SrB2N2 crystal at the PBE level of DFT.

Distance to the lowest polymorph of the same formula = 0.24 eV/f.u.

Cell: 6.229 6.229 6.229 Å, 132.38 132.38 69.64°
Sites, in units of the cell vectors:
Sr: 0.250 0.250 0.000
Sr: 0.750 0.750 0.000
B: 0.140 0.640 0.780
B: 0.360 0.140 0.500
B: 0.640 0.860 0.500
B: 0.860 0.360 0.220
N: 0.160 0.340 0.500
N: 0.340 0.840 0.181
N: 0.660 0.160 0.819
N: 0.840 0.660 0.500



# 16
Computed, not measured: a relaxed SrBN2 crystal at the PBE level of DFT.

Cell: 5.304 5.304 5.304 Å, 128.71 128.71 75.48°
Sites, in units of the cell vectors:
Sr: 0.375 0.625 0.750
Sr: 0.625 0.375 0.250
B: 0.125 0.875 0.250
B: 0.875 0.125 0.750
N: 0.000 0.000 0.000
N: 0.000 0.000 0.500
N: 0.000 0.500 0.000
N: 0.500 0.000 0.500



# 17
Computed, not measured: a relaxed Sr2BN2 crystal at the PBE level of DFT.

Distance to the lowest polymorph of the same formula = 1.89 eV/f.u.

Cell: 7.691 7.691 6.529 Å, 90.00 90.00 157.08°
Sites, in units of the cell vectors:
Sr: 0.039 0.961 0.500
Sr: 0.228 0.772 0.216
Sr: 0.772 0.228 0.716
Sr: 0.961 0.039 0.000
B: 0.385 0.615 0.472
B: 0.615 0.385 0.972
N: 0.136 0.864 0.858
N: 0.416 0.584 0.678
N: 0.584 0.416 0.178
N: 0.864 0.136 0.358



# 18
Computed, not measured: a relaxed Sr2BN2 crystal at the PBE level of DFT.

Distance to the lowest polymorph of the same formula = 0.00 eV/f.u.

Cell: 6.243 6.243 6.243 Å, 143.99 143.99 51.85°
Sites, in units of the cell vectors:
Sr: 0.146 0.146 0.000
Sr: 0.854 0.854 0.000
B: 0.500 0.500 0.000
N: 0.376 0.376 0.000
N: 0.624 0.624 0.000



# 19
Computed, not measured: a relaxed SrB6N6 crystal at the PBE level of DFT.

Cell: 4.657 4.657 4.657 Å, 90.00 90.00 90.00°
Sites, in units of the cell vectors:
Sr: 0.000 0.000 0.000
B: 0.000 0.248 0.500
B: 0.000 0.752 0.500
B: 0.248 0.500 0.000
B: 0.500 0.000 0.248
B: 0.500 0.000 0.752
B: 0.752 0.500 0.000
N: 0.000 0.500 0.249
N: 0.000 0.500 0.751
N: 0.249 0.000 0.500
N: 0.500 0.249 0.000
N: 0.500 0.751 0.000
N: 0.751 0.000 0.500



# 20
Computed, not measured: a relaxed Sr8B3N8 crystal at the PBE level of DFT.

Cell: 9.491 9.491 7.428 Å, 106.17 106.17 31.96°
Sites, in units of the cell vectors:
Sr: 0.036 0.036 0.259
Sr: 0.201 0.201 0.814
Sr: 0.325 0.325 0.519
Sr: 0.393 0.393 0.065
Sr: 0.607 0.607 0.935
Sr: 0.675 0.675 0.481
Sr: 0.799 0.799 0.186
Sr: 0.964 0.964 0.741
B: 0.188 0.188 0.200
B: 0.500 0.500 0.500
B: 0.812 0.812 0.800
N: 0.115 0.115 0.026
N: 0.180 0.180 0.396
N: 0.268 0.268 0.167
N: 0.484 0.484 0.669
N: 0.516 0.516 0.331
N: 0.732 0.732 0.833
N: 0.820 0.820 0.604
N: 0.885 0.885 0.974



# 21
Computed, not measured: a relaxed SrBN crystal at the PBE level of DFT.

Distance to the lowest polymorph of the same formula = 0.00 eV/f.u.

Cell: 7.705 3.500 6.652 Å, 90.00 90.00 90.00°
Sites, in units of the cell vectors:
Sr: 0.172 0.250 0.147
Sr: 0.328 0.750 0.647
Sr: 0.672 0.250 0.353
Sr: 0.828 0.750 0.853
B: 0.025 0.250 0.576
B: 0.475 0.750 0.076
B: 0.525 0.250 0.924
B: 0.975 0.750 0.424
N: 0.080 0.250 0.773
N: 0.420 0.750 0.273
N: 0.580 0.250 0.727
N: 0.920 0.750 0.227



# 22
Computed, not measured: a relaxed SrB3N crystal at the PBE level of DFT.

Distance to the lowest polymorph of the same formula = 0.00 eV/f.u.

Cell: 3.990 3.990 3.990 Å, 90.00 90.00 90.00°
Sites, in units of the cell vectors:
Sr: 0.000 0.000 0.000
B: 0.000 0.500 0.500
B: 0.500 0.000 0.500
B: 0.500 0.500 0.000
N: 0.500 0.500 0.500



# 23
Computed, not measured: a relaxed SrB3N crystal at the PBE level of DFT.

Distance to the lowest polymorph of the same formula = 8.99 eV/f.u.

Cell: 5.498 5.498 5.498 Å, 90.00 90.00 90.00°
Sites, in units of the cell vectors:
Sr: 0.000 0.000 0.000
B: 0.000 0.000 0.500
B: 0.000 0.500 0.000
B: 0.500 0.000 0.000
N: 0.500 0.500 0.500



# 24
Computed, not measured: a relaxed SrB2N2 crystal at the PBE level of DFT.

Distance to the lowest polymorph of the same formula = 0.00 eV/f.u.

Cell: 4.040 4.040 7.076 Å, 105.98 105.98 60.09°
Sites, in units of the cell vectors:
Sr: 0.000 0.000 0.000
B: 0.459 0.459 0.379
B: 0.541 0.541 0.621
N: 0.394 0.394 0.189
N: 0.606 0.606 0.811



# 25
Computed, not measured: a relaxed SrBN2 crystal at the PBE level of DFT.

Cell: 6.522 6.522 6.522 Å, 25.80 25.80 25.80°
Sites, in units of the cell vectors:
Sr: 0.000 0.000 0.000
B: 0.500 0.500 0.500
N: 0.125 0.125 0.125
N: 0.875 0.875 0.875



# 26
Computed, not measured: a relaxed SrTa2BN crystal at the PBE level of DFT.

Cell: 5.066 5.066 4.000 Å, 90.00 90.00 90.00°
Sites, in units of the cell vectors:
Sr: 0.000 0.000 0.000
Ta: 0.000 0.500 0.000
Ta: 0.500 0.000 0.000
B: 0.500 0.500 0.500
N: 0.000 0.000 0.500



Per-record magnetization, μB/cell: 0.000 0.226 0.796 0.000 0.000 0.000 0.000 0.000 0.001 0.000 0.000 0.000 1.000 0.000 0.000 0.000 0.001 0.000 0.000 0.510 0.000 0.000 1.663 0.000 0.628 0.000
Per-record VASP energy, eV/atom: -6.4511 -4.0333 -6.7097 -5.8522 -4.6095 -4.8171 -4.3460 -4.9190 -3.4066 -6.0223 -6.1382 -5.3333 -6.8675 -6.7383 -6.9489 -6.6863 -5.8066 -6.1856 -7.2852 -6.1024 -6.2588 -4.0356 -2.2385 -6.9975 -4.8212 -4.4856